(1)
NaMg2CrRh | PBE | optimized geometry

Results
space group: P4/mmm, No. 123
magnetic moment: 5.272 μB per formula unit
formation energy: 117.4 kJ/mol of atoms

a = 5.044 Å, b = 4.947 Å, c = 5.044 Å
α = 90.00°, β = 90.00°, γ = 90.00°
Each line ends with the local moment (μB).
Atoms (fractional coordinates):
1 Mg 0.000 0.000 0.500  0.01
2 Mg 0.500 0.000 0.000  0.03
3 Rh 0.500 0.500 0.500  0.62
4 Na 0.000 0.500 0.000  0.04
5 Cr 0.000 0.000 0.000  4.04



(2)
Na3MgCr2S6 | PBE | optimized geometry

Results
raw formation energy: -11.8 eV/f.u.
space group: C2/m, No. 12
magnetic moment: 4.993 μB per formula unit

a = 6.255 Å, b = 6.255 Å, c = 6.892 Å
α = 98.75°, β = 98.75°, γ = 119.98°
Each line ends with the local moment (μB).
Atoms (fractional coordinates):
1 Mg 0.000 0.000 0.000  0.01
2 Cr 0.332 0.668 0.000  2.65
3 Cr 0.668 0.332 0.000  2.65
4 S 0.068 0.424 0.202  -0.10
5 S 0.288 0.288 0.797  -0.09
6 S 0.576 0.932 0.798  -0.10
7 S 0.712 0.712 0.203  -0.09
8 S 0.424 0.068 0.202  -0.10
9 S 0.932 0.576 0.798  -0.10
10 Na 0.162 0.838 0.500  0.00
11 Na 0.838 0.162 0.500  0.00
12 Na 0.500 0.500 0.500  0.00



(3)
NaMgCrSb2 | PBE | optimized geometry

Results
raw formation energy: 6.1 eV/f.u.
space group: P4/mmm, No. 123
magnetic moment: 0.279 μB per formula unit

a = 5.330 Å, b = 4.975 Å, c = 5.330 Å
α = 90.00°, β = 90.00°, γ = 90.00°
Each line ends with the local moment (μB).
Atoms (fractional coordinates):
1 Na 0.000 0.500 0.000  0.00
2 Sb 0.500 0.000 0.000  0.02
3 Sb 0.000 0.000 0.500  0.03
4 Cr 0.500 0.500 0.500  0.10
5 Mg 0.000 0.000 0.000  0.00



(4)
NaMgCrTe3 | PBE | optimized geometry

Results
raw formation energy: -2.7 eV/f.u.
space group: P2_1/m, No. 11
magnetic moment: 1.077 μB per formula unit

a = 4.138 Å, b = 10.287 Å, c = 9.677 Å
α = 114.29°, β = 90.00°, γ = 90.00°
Each line ends with the local moment (μB).
Atoms (fractional coordinates):
1 Te 0.750 0.734 0.056  -0.08
2 Te 0.250 0.871 0.593  -0.01
3 Te 0.250 0.266 0.944  -0.08
4 Te 0.250 0.485 0.764  -0.08
5 Te 0.750 0.515 0.236  -0.08
6 Te 0.750 0.129 0.407  -0.01
7 Cr 0.250 0.558 0.067  1.20
8 Cr 0.750 0.442 0.933  1.20
9 Na 0.250 0.268 0.273  0.00
10 Na 0.750 0.732 0.727  0.00
11 Mg 0.250 0.159 0.613  0.00
12 Mg 0.750 0.841 0.387  0.00



(5)
MgNb3Cr | PBE | optimized geometry

Results
space group: Pm-3m, No. 221
magnetic moment: 0.000 μB per formula unit
relative energy among the computed polymorphs: 0.00 eV/f.u.
formation energy: 72.7 kJ/mol of atoms

a = 4.665 Å, b = 4.665 Å, c = 4.665 Å
α = 90.00°, β = 90.00°, γ = 90.00°
Atoms (fractional coordinates):
1 Nb 0.000 0.500 0.000
2 Nb 0.500 0.000 0.000
3 Nb 0.000 0.000 0.500
4 Mg 0.500 0.500 0.500
5 Cr 0.000 0.000 0.000



(6)
MgNbCr3 | PBE | optimized geometry

Results
space group: Pm-3m, No. 221
magnetic moment: 8.873 μB per formula unit
relative energy among the computed polymorphs: 0.00 eV/f.u.
formation energy: 129.5 kJ/mol of atoms

a = 4.756 Å, b = 4.756 Å, c = 4.756 Å
α = 90.00°, β = 90.00°, γ = 90.00°
Each line ends with the local moment (μB).
Atoms (fractional coordinates):
1 Cr 0.000 0.000 0.500  2.63
2 Cr 0.500 0.000 0.000  3.34
3 Cr 0.000 0.500 0.000  2.90
4 Nb 0.000 0.000 0.000  -0.81
5 Mg 0.500 0.500 0.500  -0.03



(7)
Mg2NbCr | PBE | optimized geometry

Results
space group: Fm-3m, No. 225
magnetic moment: 0.000 μB per formula unit
relative energy among the computed polymorphs: 0.00 eV/f.u.
formation energy: 75.2 kJ/mol of atoms

a = 4.595 Å, b = 4.595 Å, c = 4.595 Å
α = 60.00°, β = 60.00°, γ = 60.00°
Atoms (fractional coordinates):
1 Mg 0.250 0.250 0.250
2 Mg 0.750 0.750 0.750
3 Nb 0.500 0.500 0.500
4 Cr 0.000 0.000 0.000



(8)
MgNbCr3 | PBE | optimized geometry

Results
space group: Pm-3m, No. 221
magnetic moment: 8.425 μB per formula unit
relative energy among the computed polymorphs: 2.27 eV/f.u.
formation energy: 173.3 kJ/mol of atoms

a = 4.522 Å, b = 4.522 Å, c = 4.522 Å
α = 90.00°, β = 90.00°, γ = 90.00°
Each line ends with the local moment (μB).
Atoms (fractional coordinates):
1 Mg 0.000 0.000 0.000  0.03
2 Cr 0.000 0.500 0.000  3.05
3 Cr 0.000 0.000 0.500  3.06
4 Cr 0.500 0.000 0.000  2.84
5 Nb 0.500 0.500 0.500  -1.18



Question: What is the formula in the sixth record?
Answer: MgNbCr3